DFT (meta-GGA SCAN) results for a PBEsol-optimized structure of ScTlHg2.

Computed properties:
- D(E_F) (states/eV/cell) = 2.36
- ΔH_f (0 K) (eV/atom) = -0.25
- total magnetization (Bohr magnetons per cell) = 0.0
- volume (Å³ per atom) = 21.90

Cell: 4.426 4.426 5.458 Å, 113.92 113.92 90.00°
Fractional coordinates of all 4 atoms:
1 Tl 0.000 0.000 0.000
2 Hg 0.250 0.750 0.500
3 Hg 0.750 0.250 0.500
4 Sc 0.500 0.500 0.000



DFT (meta-GGA SCAN) results for a PBEsol-optimized structure of Ba3MnTc.

Computed properties:
- D(E_F) (states/eV/cell) = 4.47
- ΔH_f (0 K) (eV/atom) = 1.15
- total magnetization (Bohr magnetons per cell) = 6.3
- volume (Å³ per atom) = 37.94

Cell: 5.746 5.746 5.746 Å, 90.00 90.00 90.00°
Last column: magnetic moment on the atom in μB.
Fractional coordinates of all 5 atoms:
1 Tc 0.500 0.500 0.500  3.47
2 Ba 0.000 0.500 0.000  -0.11
3 Ba 0.500 0.000 0.000  -0.11
4 Ba 0.000 0.000 0.500  -0.11
5 Mn 0.000 0.000 0.000  3.29



Q: Among the records above, which one has the highest total magnetization?
A: Ba3MnTc



Q: The lowest D(E_F) belongs to which entry?
A: ScTlHg2